Record 1
! TbPrAlPd | the Alexandria database | PBE-GGA | relaxed; values from VASP
&SYSTEM
  ibrav = 0, nat = 4, ntyp = 4
/
ATOMIC_SPECIES
Tb 158.93 Tb.upf
Pr 140.91 Pr.upf
Al 26.98 Al.upf
Pd 106.42 Pd.upf
CELL_PARAMETERS angstrom
0.000 3.662 3.662
3.662 0.000 3.662
3.662 3.662 0.000
ATOMIC_POSITIONS crystal
Tb 0.000 0.000 0.000
Pr 0.500 0.500 0.500
Al 0.750 0.750 0.750
Pd 0.250 0.250 0.250
! SG: F-43m, No. 216


Record 2
! AcTi3O8 | the Alexandria database | PBE-GGA | relaxed; values from VASP
&SYSTEM
  ibrav = 0, nat = 12, ntyp = 3
/
ATOMIC_SPECIES
Ac 227.00 Ac.upf
Ti 47.87 Ti.upf
O 16.00 O.upf
CELL_PARAMETERS angstrom
5.702 0.000 0.000
-2.851 4.938 0.000
0.000 0.000 6.769
ATOMIC_POSITIONS crystal
Ac 0.000 0.000 0.000
Ti 0.000 0.000 0.500
Ti 0.333 0.667 0.753
Ti 0.667 0.333 0.247
O 0.152 0.846 0.683
O 0.154 0.306 0.683
O 0.306 0.152 0.317
O 0.333 0.667 0.013
O 0.667 0.333 0.987
O 0.694 0.848 0.683
O 0.846 0.694 0.317
O 0.848 0.154 0.317
! Raw formation energy (eV/f.u.): -34.240
! SG: P-3, No. 147


no.,electronic total energy (eV/f.u.)
1,-20.3
2,-101.7